No. 1
First-principles (PBE-GGA) data for CoReTe2N after structural relaxation, as listed in Alexandria.

Results
- Formation energy (no corrections): 861 meV per atom
- Relative energy among the computed polymorphs: 0.57 eV/f.u.

Cell lengths 5.099, 5.099, 3.334 Å; angles 90.00, 90.00, 90.00 degrees
Positions (direct):
Co: 0.000 0.000 0.000
Re: 0.500 0.500 0.500
Te: 0.500 0.000 0.000
Te: 0.000 0.500 0.000
N: 0.000 0.000 0.500

No. 2
First-principles (PBE-GGA) data for ZrNi2Sb2 after structural relaxation, as listed in Alexandria.

Results
- Formation energy (no corrections): -284 meV per atom

Cell lengths 7.028, 7.028, 3.611 Å; angles 90.00, 90.00, 90.00 degrees
Positions (direct):
Ni: 0.880 0.620 0.000
Ni: 0.120 0.380 0.000
Ni: 0.620 0.120 0.000
Ni: 0.380 0.880 0.000
Zr: 0.500 0.500 0.000
Zr: 0.000 0.000 0.000
Sb: 0.823 0.323 0.500
Sb: 0.323 0.177 0.500
Sb: 0.677 0.823 0.500
Sb: 0.177 0.677 0.500